The following is a DFT calculation (PBE) of Nd5Hg2Pb2 after structural relaxation.

## Properties
ΔE_f ... -446 meV per atom
VASP energy ... -143.50 eV/cell
Total moment ... 0.0 μB/cell

Unit cell a=16.461 b=8.387 c=8.255 alpha=90.00 beta=90.00 gamma=90.00
Space group Cmce (No. 64)
One atom of each set of equivalent atoms:
Nd 0.000 0.000 0.000
Nd 0.138 0.172 0.334
Hg 0.000 0.130 0.631
Pb 0.206 0.000 0.000